# 1
A geometry-optimized KDyS2O6 structure, computed with GGA-PBE.

Results
The uncorrected formation energy is -20.2 eV per formula unit.

extended XYZ file:
```
10
Lattice="5.342 0.000 0.000 2.671 4.626 0.000 2.671 1.542 6.756" Properties=species:S:1:pos:R:3 pbc="T T T"
K 0.000 0.000 0.000
Dy 5.342 3.084 3.378
S 8.013 4.626 5.327
S 2.671 1.542 1.429
O 3.562 3.520 4.727
O 5.855 1.325 4.727
O 4.075 1.760 2.029
O 7.122 2.649 2.029
O 4.829 4.843 2.029
O 6.609 4.408 4.727
```

---

# 2
A geometry-optimized YMgPt2 structure, computed with GGA-PBE.

Results
The calculation puts the energy relative to the elements at 6.6 meV per atom.

extended XYZ file:
```
4
Lattice="4.968 -1.587 -3.072 -1.209 5.073 3.072 -3.434 -0.067 4.984" Properties=species:S:1:pos:R:3 pbc="T T T"
Y -2.322 2.503 4.028
Mg 0.000 0.000 0.000
Pt -1.110 1.197 1.926
Pt -3.533 3.810 6.130
```

---

# 3
A geometry-optimized PmTh2OsN4 structure, computed with GGA-PBE.

Results
The uncorrected formation energy is -7.9 eV per formula unit.

extended XYZ file:
```
16
Lattice="3.456 0.000 0.000 -1.728 6.092 0.000 0.000 0.000 12.025" Properties=species:S:1:pos:R:3 pbc="T T T"
Pm 0.000 1.361 9.019
Pm 1.728 4.731 3.006
Th 0.000 4.490 6.639
Th 1.728 1.603 0.627
Th 1.728 1.603 5.386
Th 0.000 4.490 11.398
Os 1.728 4.256 9.019
Os 0.000 1.836 3.006
N 0.000 3.367 1.543
N 1.728 2.725 7.555
N 1.728 2.725 10.482
N 0.000 3.367 4.470
N 0.000 0.000 6.012
N 0.000 0.000 0.000
N 0.000 5.552 9.019
N 1.728 0.540 3.006
```

---

| no. | total energy (eV/cell) |
| --- | --- |
| 1 | -63.91 |
| 2 | -20.11 |
| 3 | -144.07 |